A relaxed structure of Sr2Al4SiPt3, computed with GGA-PBE.

CIF file:
```
data_Sr2Al4SiPt3
_space_group_name_H-M_alt 'P -4 m 2'
_space_group_IT_number 115
_cell_length_a 4.369
_cell_length_b 4.369
_cell_length_c 10.514
_cell_angle_alpha 90.00
_cell_angle_beta 90.00
_cell_angle_gamma 90.00
loop_
_space_group_symop_operation_xyz
'x,y,z'
'y,-x,-z'
'-x,-y,z'
'-y,x,-z'
'-x,y,z'
'-y,-x,-z'
'x,-y,z'
'y,x,-z'
loop_
_atom_site_label
_atom_site_type_symbol
_atom_site_fract_x
_atom_site_fract_y
_atom_site_fract_z
Sr1 Sr 0.000 0.500 0.244
Al1 Al 0.000 0.000 0.500
Al2 Al 0.000 0.500 0.870
Al3 Al 0.500 0.500 0.500
Si1 Si 0.500 0.500 0.000
Pt1 Pt 0.000 0.000 0.000
Pt2 Pt 0.000 0.500 0.627
```

formation energy without anion corrections = -0.838 eV/atom
volume = 200.7 Å³ per cell


A relaxed structure of Ac3SiTe2, computed with GGA-PBE.

CIF file:
```
data_Ac3SiTe2
_space_group_name_H-M_alt 'F d d d'
_space_group_IT_number 70
_cell_length_a 9.450
_cell_length_b 13.310
_cell_length_c 28.095
_cell_angle_alpha 90.00
_cell_angle_beta 90.00
_cell_angle_gamma 90.00
loop_
_space_group_symop_operation_xyz
'x,y,z'
'-x,-y,-z'
'-x+1/4,-y+1/4,z'
'x+1/4,y+1/4,-z'
'x,-y+1/4,-z+1/4'
'-x,y+1/4,z+1/4'
'-x+1/4,y,-z+1/4'
'x+1/4,-y,z+1/4'
'x,y+1/2,z+1/2'
'-x,-y+1/2,-z+1/2'
'-x+1/4,-y+3/4,z+1/2'
'x+1/4,y+3/4,-z+1/2'
'x,-y+3/4,-z+3/4'
'-x,y+3/4,z+3/4'
'-x+1/4,y+1/2,-z+3/4'
'x+1/4,-y+1/2,z+3/4'
'x+1/2,y,z+1/2'
'-x+1/2,-y,-z+1/2'
'-x+3/4,-y+1/4,z+1/2'
'x+3/4,y+1/4,-z+1/2'
'x+1/2,-y+1/4,-z+3/4'
'-x+1/2,y+1/4,z+3/4'
'-x+3/4,y,-z+3/4'
'x+3/4,-y,z+3/4'
'x+1/2,y+1/2,z'
'-x+1/2,-y+1/2,-z'
'-x+3/4,-y+3/4,z'
'x+3/4,y+3/4,-z'
'x+1/2,-y+3/4,-z+1/4'
'-x+1/2,y+3/4,z+1/4'
'-x+3/4,y+1/2,-z+1/4'
'x+3/4,-y+1/2,z+1/4'
loop_
_atom_site_label
_atom_site_type_symbol
_atom_site_fract_x
_atom_site_fract_y
_atom_site_fract_z
Ac1 Ac 0.101 0.375 0.375
Ac2 Ac 0.114 0.364 0.213
Si1 Si 0.125 0.125 0.041
Te1 Te 0.125 0.125 0.378
Te2 Te 0.125 0.125 0.544
```

formation energy without anion corrections = -1.285 eV/atom
volume = 3533.9 Å³ per cell


A relaxed structure of VInGa2Cu, computed with GGA-PBE.

CIF file:
```
data_VInGa2Cu
_space_group_name_H-M_alt 'P 4/m m m'
_space_group_IT_number 123
_space_group_name_Hall '-P 4 2'
_cell_length_a 4.903
_cell_length_b 4.903
_cell_length_c 4.711
_cell_angle_alpha 90.00
_cell_angle_beta 90.00
_cell_angle_gamma 90.00
loop_
_atom_site_label
_atom_site_type_symbol
_atom_site_fract_x
_atom_site_fract_y
_atom_site_fract_z
V1 V 0.000 0.000 0.000
In1 In 0.500 0.500 0.500
Ga1 Ga 0.000 0.500 0.000
Cu1 Cu 0.000 0.000 0.500
```

energy = -3.7674 eV/atom
volume = 113.2 Å³ per cell


A relaxed structure of Ba2SnBiSe5, computed with GGA-PBE.

CIF file:
```
data_Ba2SnBiSe5
_space_group_name_H-M_alt 'C m c 21'
_space_group_IT_number 36
_cell_length_a 4.663
_cell_length_b 19.223
_cell_length_c 12.992
_cell_angle_alpha 90.00
_cell_angle_beta 90.00
_cell_angle_gamma 90.00
loop_
_space_group_symop_operation_xyz
'x,y,z'
'-x,-y,z+1/2'
'-x,y,z'
'x,-y,z+1/2'
'x+1/2,y+1/2,z'
'-x+1/2,-y+1/2,z+1/2'
'-x+1/2,y+1/2,z'
'x+1/2,-y+1/2,z+1/2'
loop_
_atom_site_label
_atom_site_type_symbol
_atom_site_fract_x
_atom_site_fract_y
_atom_site_fract_z
Ba1 Ba 0.000 0.115 0.000
Ba2 Ba 0.000 0.126 0.626
Sn1 Sn 0.000 0.441 0.766
Bi1 Bi 0.000 0.217 0.340
Se1 Se 0.000 0.045 0.361
Se2 Se 0.000 0.286 0.982
Se3 Se 0.000 0.313 0.683
Se4 Se 0.000 0.359 0.316
Se5 Se 0.000 0.498 0.087
```

formation energy without anion corrections = -1.141 eV/atom
volume = 1164.6 Å³ per cell


A relaxed structure of ZrSn2, computed with GGA-PBE.

CIF file:
```
data_ZrSn2
_space_group_name_H-M_alt 'I 4/m m m'
_space_group_IT_number 139
_space_group_name_Hall '-I 4 2'
_cell_length_a 3.756
_cell_length_b 3.756
_cell_length_c 9.915
_cell_angle_alpha 90.00
_cell_angle_beta 90.00
_cell_angle_gamma 90.00
loop_
_atom_site_label
_atom_site_type_symbol
_atom_site_fract_x
_atom_site_fract_y
_atom_site_fract_z
Zr1 Zr 0.000 0.000 0.000
Sn1 Sn 0.000 0.000 0.338
```

energy = -5.8041 eV/atom
volume = 139.9 Å³ per cell


A relaxed structure of ThGe4Pd4, computed with GGA-PBE.

CIF file:
```
data_ThGe4Pd4
_space_group_name_H-M_alt 'P 42/n m c'
_space_group_IT_number 137
_cell_length_a 6.084
_cell_length_b 6.084
_cell_length_c 8.823
_cell_angle_alpha 90.00
_cell_angle_beta 90.00
_cell_angle_gamma 90.00
loop_
_space_group_symop_operation_xyz
'x,y,z'
'-x,-y,-z'
'-y+1/2,x,z+1/2'
'y+1/2,-x,-z+1/2'
'-x+1/2,-y+1/2,z'
'x+1/2,y+1/2,-z'
'y,-x+1/2,z+1/2'
'-y,x+1/2,-z+1/2'
'x+1/2,-y,-z'
'-x+1/2,y,z'
'-y,-x,-z+1/2'
'y,x,z+1/2'
'-x,y+1/2,-z'
'x,-y+1/2,z'
'y+1/2,x+1/2,-z+1/2'
'-y+1/2,-x+1/2,z+1/2'
loop_
_atom_site_label
_atom_site_type_symbol
_atom_site_fract_x
_atom_site_fract_y
_atom_site_fract_z
Th1 Th 0.250 0.750 0.250
Ge1 Ge 0.037 0.250 0.151
Pd1 Pd 0.017 0.250 0.445
```

energy = -5.6906 eV/atom
volume = 326.6 Å³ per cell


Q: Look up the volume of the fourth one.
A: 1164.6 Å³ per cell